# 1
Below is SiMoBr2 after structural relaxation, with properties calculated at the PBE level.

a b c (Å): 3.329 3.329 9.549
angles (deg): 90.00 90.00 124.27
Each line ends with the local moment (μB).
Sites, in units of the cell vectors:
Br 0.000 0.000 0.032  0.01
Br 0.000 0.000 0.468  0.01
Mo 0.500 0.500 0.250  1.12
Si 0.500 0.500 0.750  0.02

Summary:
Space-group type: Cmmm
Raw formation energy (meV/atom): 668


# 2
Below is VRe2Ge after structural relaxation, with properties calculated at the PBE level.

a b c (Å): 3.758 3.758 9.543
angles (deg): 78.64 78.64 90.00
Sites, in units of the cell vectors:
Re 0.665 0.125 0.250
Re 0.085 0.625 0.250
Re 0.375 0.335 0.750
Re 0.875 0.915 0.750
Ge 0.000 0.000 0.000
Ge 0.750 0.250 0.500
V 0.500 0.500 0.000
V 0.250 0.750 0.500

Summary:
Space-group type: I-42d
ΔE_f (eV per atom): 0.5575


# 3
Below is GaRu2Cl after structural relaxation, with properties calculated at the PBE level.

a b c (Å): 4.361 4.361 4.361
angles (deg): 60.00 60.00 60.00
Sites, in units of the cell vectors:
Ru 0.250 0.250 0.250
Ru 0.750 0.750 0.750
Ga 0.500 0.500 0.500
Cl 0.000 0.000 0.000

Summary:
Space-group type: Fm-3m
Raw formation energy (meV/atom): 572


# 4
Below is Pr2TeCl after structural relaxation, with properties calculated at the PBE level.

a b c (Å): 4.389 4.389 7.339
angles (deg): 72.60 72.60 60.00
Sites, in units of the cell vectors:
Pr 0.262 0.262 0.215
Pr 0.738 0.738 0.785
Te 0.500 0.500 0.500
Cl 0.000 0.000 0.000

Summary:
Space-group type: R-3m
Raw formation energy (meV/atom): -1364


# 5
Below is La2ZnTe after structural relaxation, with properties calculated at the PBE level.

a b c (Å): 5.656 5.656 5.656
angles (deg): 126.05 126.05 79.81
Sites, in units of the cell vectors:
La 0.000 0.000 0.000
La 0.500 0.500 0.000
Te 0.250 0.750 0.500
Zn 0.750 0.250 0.500

Summary:
Space-group type: I4/mmm
Raw formation energy (meV/atom): -730


# 6
Below is TbScZnGe after structural relaxation, with properties calculated at the PBE level.

a b c (Å): 4.885 4.885 4.885
angles (deg): 60.00 60.00 60.00
Sites, in units of the cell vectors:
Sc 0.000 0.000 0.000
Ge 0.250 0.250 0.250
Tb 0.500 0.500 0.500
Zn 0.750 0.750 0.750

Summary:
Space-group type: F-43m
ΔE_f (eV per atom): -0.5205


# 7
Below is Sb2HPd5 after structural relaxation, with properties calculated at the PBE level.

a b c (Å): 3.759 7.600 10.661
angles (deg): 90.00 90.00 104.32
Sites, in units of the cell vectors:
Sb 0.868 0.735 0.406
Sb 0.868 0.735 0.094
Sb 0.132 0.265 0.594
Sb 0.132 0.265 0.906
H 0.867 0.734 0.750
H 0.133 0.266 0.250
Pd 0.958 0.916 0.881
Pd 0.958 0.916 0.619
Pd 0.244 0.489 0.388
Pd 0.244 0.489 0.112
Pd 0.647 0.293 0.250
Pd 0.353 0.707 0.750
Pd 0.756 0.511 0.612
Pd 0.756 0.511 0.888
Pd 0.042 0.084 0.119
Pd 0.042 0.084 0.381

Summary:
Space-group type: Cmcm


# 8
Below is TbDy5Er7 after structural relaxation, with properties calculated at the PBE level.

a b c (Å): 6.636 8.592 8.592
angles (deg): 79.38 67.28 67.28
Sites, in units of the cell vectors:
Tb 0.965 0.035 0.035
Dy 0.537 0.004 0.458
Dy 0.000 0.004 0.458
Dy 0.537 0.458 0.004
Dy 0.000 0.458 0.004
Dy 0.769 0.731 0.731
Er 0.577 0.423 0.423
Er 0.271 0.729 0.729
Er 0.020 0.311 0.650
Er 0.020 0.650 0.311
Er 0.269 0.231 0.231
Er 0.518 0.812 0.152
Er 0.518 0.152 0.812

Summary:
Space-group type: Imm2
ΔE_f (eV per atom): 0.2595


Let's list total energy in order: -16.930 -72.804 -21.136 -20.003 -17.189 -18.935 -77.661 -56.207 eV per cell.